# 1
Computed, not measured: crystalline LiNb3Ir at its relaxed geometry at the PBE-GGA level of DFT.

Calculated values
Formation enthalpy at 0 K = 941 meV per atom
Crystal system = cubic

CIF file:
```
data_LiNb3Ir
_symmetry_space_group_name_H-M 'P m -3 m'
_symmetry_Int_Tables_number 221
_symmetry_space_group_name_Hall '-P 4 2 3'
_cell_length_a 4.339
_cell_length_b 4.339
_cell_length_c 4.339
_cell_angle_alpha 90.00
_cell_angle_beta 90.00
_cell_angle_gamma 90.00
loop_
_atom_site_label
_atom_site_fract_x
_atom_site_fract_y
_atom_site_fract_z
Li1 0.000 0.000 0.000
Nb1 0.000 0.000 0.500
Ir1 0.500 0.500 0.500
```

# 2
Computed, not measured: crystalline LiNb4Ir5 at its relaxed geometry at the PBE-GGA level of DFT.

Calculated values
Formation enthalpy at 0 K = -438 meV per atom
Crystal system = tetragonal

CIF file:
```
data_LiNb4Ir5
_symmetry_space_group_name_H-M 'P 4/m m m'
_symmetry_Int_Tables_number 123
_symmetry_space_group_name_Hall '-P 4 2'
_cell_length_a 2.928
_cell_length_b 2.928
_cell_length_c 18.041
_cell_angle_alpha 90.00
_cell_angle_beta 90.00
_cell_angle_gamma 90.00
loop_
_atom_site_label
_atom_site_fract_x
_atom_site_fract_y
_atom_site_fract_z
Li1 0.000 0.000 0.000
Nb1 0.000 0.000 0.179
Nb2 0.000 0.000 0.393
Ir1 0.500 0.500 0.082
Ir2 0.500 0.500 0.286
Ir3 0.500 0.500 0.500
```

# 3
Computed, not measured: crystalline LiNbIr2 at its relaxed geometry at the PBE-GGA level of DFT.

Calculated values
Formation enthalpy at 0 K = -416 meV per atom
Crystal system = tetragonal

CIF file:
```
data_LiNbIr2
_symmetry_space_group_name_H-M 'P 4/m m m'
_symmetry_Int_Tables_number 123
_symmetry_space_group_name_Hall '-P 4 2'
_cell_length_a 3.154
_cell_length_b 3.154
_cell_length_c 5.855
_cell_angle_alpha 90.00
_cell_angle_beta 90.00
_cell_angle_gamma 90.00
loop_
_atom_site_label
_atom_site_fract_x
_atom_site_fract_y
_atom_site_fract_z
Li1 0.000 0.000 0.000
Nb1 0.000 0.000 0.500
Ir1 0.500 0.500 0.235
```

# 4
Computed, not measured: crystalline Li2NbIr2 at its relaxed geometry at the PBE-GGA level of DFT.

Calculated values
Formation enthalpy at 0 K = -111 meV per atom
Crystal system = tetragonal

CIF file:
```
data_Li2NbIr2
_symmetry_space_group_name_H-M 'P 4/m b m'
_symmetry_Int_Tables_number 127
_symmetry_space_group_name_Hall '-P 4 2ab'
_cell_length_a 6.862
_cell_length_b 6.862
_cell_length_c 2.856
_cell_angle_alpha 90.00
_cell_angle_beta 90.00
_cell_angle_gamma 90.00
loop_
_atom_site_label
_atom_site_fract_x
_atom_site_fract_y
_atom_site_fract_z
Li1 0.106 0.394 0.000
Nb1 0.000 0.000 0.000
Ir1 0.193 0.693 0.500
```

# 5
Computed, not measured: crystalline LiNbIr2 at its relaxed geometry at the PBE-GGA level of DFT.

Calculated values
Formation enthalpy at 0 K = -482 meV per atom
Crystal system = cubic

CIF file:
```
data_LiNbIr2
_symmetry_space_group_name_H-M 'F m -3 m'
_symmetry_Int_Tables_number 225
_symmetry_space_group_name_Hall '-F 4 2 3'
_cell_length_a 6.174
_cell_length_b 6.174
_cell_length_c 6.174
_cell_angle_alpha 90.00
_cell_angle_beta 90.00
_cell_angle_gamma 90.00
loop_
_atom_site_label
_atom_site_fract_x
_atom_site_fract_y
_atom_site_fract_z
Li1 0.000 0.000 0.000
Nb1 0.000 0.000 0.500
Ir1 0.250 0.250 0.250
```

# 6
Computed, not measured: crystalline Li2NbIr2 at its relaxed geometry at the PBE-GGA level of DFT.

Calculated values
Formation enthalpy at 0 K = -130 meV per atom
Crystal system = monoclinic

CIF file:
```
data_Li2NbIr2
_symmetry_space_group_name_H-M 'C 1 2/m 1'
_symmetry_Int_Tables_number 12
_cell_length_a 7.477
_cell_length_b 4.323
_cell_length_c 4.888
_cell_angle_alpha 90.00
_cell_angle_beta 120.50
_cell_angle_gamma 90.00
loop_
_symmetry_equiv_pos_as_xyz
'x,y,z'
'-x,-y,-z'
'-x,y,-z'
'x,-y,z'
'x+1/2,y+1/2,z'
'-x+1/2,-y+1/2,-z'
'-x+1/2,y+1/2,-z'
'x+1/2,-y+1/2,z'
loop_
_atom_site_label
_atom_site_fract_x
_atom_site_fract_y
_atom_site_fract_z
Li1 0.085 0.000 0.254
Nb1 0.000 0.500 0.500
Ir1 0.215 0.500 0.146
```

# 7
Computed, not measured: crystalline LiNb3Ir at its relaxed geometry at the PBE-GGA level of DFT.

Calculated values
Formation enthalpy at 0 K = 933 meV per atom
Crystal system = cubic

CIF file:
```
data_LiNb3Ir
_symmetry_space_group_name_H-M 'P m -3 m'
_symmetry_Int_Tables_number 221
_symmetry_space_group_name_Hall '-P 4 2 3'
_cell_length_a 4.913
_cell_length_b 4.913
_cell_length_c 4.913
_cell_angle_alpha 90.00
_cell_angle_beta 90.00
_cell_angle_gamma 90.00
loop_
_atom_site_label
_atom_site_fract_x
_atom_site_fract_y
_atom_site_fract_z
Li1 0.000 0.000 0.000
Nb1 0.000 0.500 0.500
Ir1 0.500 0.500 0.500
```

# 8
Computed, not measured: crystalline Li3NbIr at its relaxed geometry at the PBE-GGA level of DFT.

Calculated values
Formation enthalpy at 0 K = 989 meV per atom
Crystal system = cubic

CIF file:
```
data_Li3NbIr
_symmetry_space_group_name_H-M 'P m -3 m'
_symmetry_Int_Tables_number 221
_symmetry_space_group_name_Hall '-P 4 2 3'
_cell_length_a 4.352
_cell_length_b 4.352
_cell_length_c 4.352
_cell_angle_alpha 90.00
_cell_angle_beta 90.00
_cell_angle_gamma 90.00
loop_
_atom_site_label
_atom_site_fract_x
_atom_site_fract_y
_atom_site_fract_z
Li1 0.000 0.000 0.500
Nb1 0.500 0.500 0.500
Ir1 0.000 0.000 0.000
```

# 9
Computed, not measured: crystalline LiNb3Ir4 at its relaxed geometry at the PBE-GGA level of DFT.

Calculated values
Formation enthalpy at 0 K = -426 meV per atom
Crystal system = tetragonal

CIF file:
```
data_LiNb3Ir4
_symmetry_space_group_name_H-M 'P 4/m m m'
_symmetry_Int_Tables_number 123
_symmetry_space_group_name_Hall '-P 4 2'
_cell_length_a 2.971
_cell_length_b 2.971
_cell_length_c 13.890
_cell_angle_alpha 90.00
_cell_angle_beta 90.00
_cell_angle_gamma 90.00
loop_
_atom_site_label
_atom_site_fract_x
_atom_site_fract_y
_atom_site_fract_z
Li1 0.000 0.000 0.000
Nb1 0.000 0.000 0.226
Nb2 0.000 0.000 0.500
Ir1 0.500 0.500 0.105
Ir2 0.500 0.500 0.363
```

# 10
Computed, not measured: crystalline LiNbIr2 at its relaxed geometry at the PBE-GGA level of DFT.

Calculated values
Formation enthalpy at 0 K = 124 meV per atom
Crystal system = tetragonal

CIF file:
```
data_LiNbIr2
_symmetry_space_group_name_H-M 'I -4 2 d'
_symmetry_Int_Tables_number 122
_symmetry_space_group_name_Hall 'I -4 2bw'
_cell_length_a 6.938
_cell_length_b 6.938
_cell_length_c 5.558
_cell_angle_alpha 90.00
_cell_angle_beta 90.00
_cell_angle_gamma 90.00
loop_
_atom_site_label
_atom_site_fract_x
_atom_site_fract_y
_atom_site_fract_z
Li1 0.000 0.000 0.000
Nb1 0.000 0.000 0.500
Ir1 0.235 0.750 0.625
```

# 11
Computed, not measured: crystalline LiNbIrO6 at its relaxed geometry at the PBE-GGA level of DFT.

Calculated values
Total energy = -129.20 eV per cell
Crystal system = tetragonal

CIF file:
```
data_LiNbIrO6
_symmetry_space_group_name_H-M 'P 42 n m'
_symmetry_Int_Tables_number 102
_cell_length_a 4.793
_cell_length_b 4.793
_cell_length_c 9.112
_cell_angle_alpha 90.00
_cell_angle_beta 90.00
_cell_angle_gamma 90.00
loop_
_symmetry_equiv_pos_as_xyz
'x,y,z'
'-y+1/2,x+1/2,z+1/2'
'-x,-y,z'
'y+1/2,-x+1/2,z+1/2'
'-x+1/2,y+1/2,z+1/2'
'y,x,z'
'x+1/2,-y+1/2,z+1/2'
'-y,-x,z'
loop_
_atom_site_label
_atom_site_fract_x
_atom_site_fract_y
_atom_site_fract_z
Li1 0.000 0.000 0.000
Nb1 0.000 0.000 0.670
Ir1 0.000 0.000 0.327
O1 0.184 0.184 0.491
O2 0.205 0.205 0.181
O3 0.216 0.216 0.816
```

# 12
Computed, not measured: crystalline LiNbIr2Os at its relaxed geometry at the PBE-GGA level of DFT.

Calculated values
Formation enthalpy at 0 K = 1922 meV per atom
Crystal system = tetragonal

CIF file:
```
data_LiNbIr2Os
_symmetry_space_group_name_H-M 'P 4/m m m'
_symmetry_Int_Tables_number 123
_symmetry_space_group_name_Hall '-P 4 2'
_cell_length_a 4.673
_cell_length_b 4.673
_cell_length_c 4.322
_cell_angle_alpha 90.00
_cell_angle_beta 90.00
_cell_angle_gamma 90.00
loop_
_atom_site_label
_atom_site_fract_x
_atom_site_fract_y
_atom_site_fract_z
Li1 0.000 0.000 0.000
Nb1 0.000 0.000 0.500
Ir1 0.000 0.500 0.500
Os1 0.500 0.500 0.000
```

# 13
Computed, not measured: crystalline LiNbIrOs2 at its relaxed geometry at the PBE-GGA level of DFT.

Calculated values
Formation enthalpy at 0 K = 904 meV per atom
Crystal system = tetragonal

CIF file:
```
data_LiNbIrOs2
_symmetry_space_group_name_H-M 'P 4/m m m'
_symmetry_Int_Tables_number 123
_symmetry_space_group_name_Hall '-P 4 2'
_cell_length_a 4.100
_cell_length_b 4.100
_cell_length_c 4.223
_cell_angle_alpha 90.00
_cell_angle_beta 90.00
_cell_angle_gamma 90.00
loop_
_atom_site_label
_atom_site_fract_x
_atom_site_fract_y
_atom_site_fract_z
Li1 0.000 0.000 0.000
Nb1 0.000 0.000 0.500
Ir1 0.500 0.500 0.500
Os1 0.000 0.500 0.000
```

| no. | M_tot (Bohr magnetons per cell) | Fermi-level density of states (states/eV per atom) |
| --- | --- | --- |
| 1 | 0.00 | 1.495 |
| 2 | 0.00 | 0.789 |
| 3 | 0.00 | 0.506 |
| 4 | 0.00 | 0.510 |
| 5 | 0.00 | 0.011 |
| 6 | 0.00 | 0.463 |
| 7 | 0.00 | 0.826 |
| 8 | 0.00 | 0.901 |
| 9 | 0.00 | 0.628 |
| 10 | 0.00 | 0.172 |
| 11 | 1.56 | 0.636 |
| 12 | 1.33 | 1.430 |
| 13 | 0.00 | 0.645 |